Material: MgHg2Sb
Method: DFT, PBE
State: relaxed

Geometry as extended XYZ:
```
8
Lattice="4.413 0.000 0.000 0.000 4.965 0.000 0.000 0.000 8.864" Properties=species:S:1:pos:R:3 pbc="T T T"
Mg 0.000 0.000 0.000
Mg 2.207 2.483 0.000
Hg 0.000 2.483 1.960
Hg 0.000 2.483 6.904
Hg 2.207 0.000 1.960
Hg 2.207 0.000 6.904
Sb 0.000 0.000 4.432
Sb 2.207 2.483 4.432
```

The calculation puts the formation energy without anion corrections at -0.016 eV/atom. The value obtained for the total energy is -0.117 Ry per atom.

---

Material: Mg2HgSb
Method: DFT, PBE
State: relaxed

Geometry as extended XYZ:
```
8
Lattice="7.532 0.000 0.000 0.000 7.613 0.000 0.000 0.000 3.274" Properties=species:S:1:pos:R:3 pbc="T T T"
Mg 1.883 1.903 0.000
Mg 1.883 5.710 0.000
Mg 5.649 1.903 0.000
Mg 5.649 5.710 0.000
Hg 0.000 0.000 1.637
Hg 3.766 3.807 1.637
Sb 0.000 3.807 1.637
Sb 3.766 0.000 1.637
```

The calculation puts the energy relative to the lowest polymorph listed for this composition at 38 meV/atom. The calculation puts the formation energy without anion corrections at -0.179 eV/atom. The value obtained for the total energy is -0.153 Ry per atom.

---

Material: MgHg2Sb
Method: DFT, PBE
State: relaxed

Geometry as extended XYZ:
```
16
Lattice="6.076 0.000 0.000 0.000 6.320 0.000 0.000 0.000 10.742" Properties=species:S:1:pos:R:3 pbc="T T T"
Mg 0.000 0.000 0.000
Mg 0.000 3.160 5.371
Mg 3.038 0.000 5.371
Mg 3.038 3.160 0.000
Hg 0.000 1.580 2.686
Hg 0.000 1.580 8.057
Hg 0.000 4.740 2.686
Hg 0.000 4.740 8.057
Hg 3.038 1.580 2.686
Hg 3.038 1.580 8.057
Hg 3.038 4.740 2.686
Hg 3.038 4.740 8.057
Sb 0.000 0.000 5.371
Sb 0.000 3.160 0.000
Sb 3.038 0.000 0.000
Sb 3.038 3.160 5.371
```

The calculation puts the formation energy without anion corrections at -0.049 eV/atom. The value obtained for the total energy is -0.120 Ry per atom.

---

Material: Mg2HgSb
Method: DFT, PBE
State: relaxed

Geometry as extended XYZ:
```
16
Lattice="7.333 0.000 0.000 0.000 7.333 0.000 0.000 0.000 7.333" Properties=species:S:1:pos:R:3 pbc="T T T"
Mg 0.000 0.000 0.000
Mg 0.000 3.666 3.666
Mg 1.833 1.833 1.833
Mg 1.833 5.500 5.500
Mg 3.666 0.000 3.666
Mg 3.666 3.666 0.000
Mg 5.500 1.833 5.500
Mg 5.500 5.500 1.833
Hg 0.000 0.000 3.666
Hg 0.000 3.666 0.000
Hg 3.666 0.000 0.000
Hg 3.666 3.666 3.666
Sb 1.833 1.833 5.500
Sb 1.833 5.500 1.833
Sb 5.500 1.833 1.833
Sb 5.500 5.500 5.500
```

The calculation puts the energy relative to the lowest polymorph listed for this composition at 233 meV/atom. The calculation puts the formation energy without anion corrections at 0.015 eV/atom. The value obtained for the total energy is -0.139 Ry per atom.

---

Material: Mg2HgSb
Method: DFT, PBE
State: relaxed

Geometry as extended XYZ:
```
12
Lattice="4.439 0.000 0.000 -2.219 3.844 0.000 0.000 0.000 18.569" Properties=species:S:1:pos:R:3 pbc="T T T"
Mg 0.000 0.000 0.000
Mg 0.000 0.000 3.388
Mg 0.000 2.563 12.379
Mg 0.000 2.563 15.767
Mg 2.219 1.281 6.190
Mg 2.219 1.281 9.578
Hg 0.000 0.000 7.790
Hg 0.000 2.563 1.601
Hg 2.219 1.281 13.980
Sb 0.000 0.000 10.972
Sb 0.000 2.563 4.782
Sb 2.219 1.281 17.161
```

The calculation puts the energy relative to the lowest polymorph listed for this composition at 8 meV/atom. The calculation puts the formation energy without anion corrections at -0.209 eV/atom. The value obtained for the total energy is -0.155 Ry per atom.

---

Material: MgHgSb
Method: DFT, PBE
State: relaxed

Geometry as extended XYZ:
```
6
Lattice="3.326 0.000 0.000 0.000 3.326 0.000 0.000 0.000 13.436" Properties=species:S:1:pos:R:3 pbc="T T T"
Mg 0.000 0.000 0.000
Mg 1.663 1.663 6.718
Hg 0.000 0.000 8.678
Hg 1.663 1.663 1.960
Sb 0.000 0.000 4.631
Sb 1.663 1.663 11.349
```

The calculation puts the energy relative to the lowest polymorph listed for this composition at 72 meV/atom. The calculation puts the formation energy without anion corrections at -0.067 eV/atom. The value obtained for the total energy is -0.152 Ry per atom.

---

Material: MgHg2Sb
Method: DFT, PBE
State: relaxed

Geometry as extended XYZ:
```
12
Lattice="4.575 0.000 0.000 -2.288 3.962 0.000 0.000 0.000 17.330" Properties=species:S:1:pos:R:3 pbc="T T T"
Mg 0.000 0.000 0.000
Mg 0.000 2.641 11.553
Mg 2.288 1.321 5.777
Hg 0.000 0.000 7.123
Hg 0.000 0.000 10.397
Hg 0.000 2.641 1.346
Hg 0.000 2.641 4.621
Hg 2.288 1.321 12.900
Hg 2.288 1.321 16.174
Sb 0.000 0.000 3.134
Sb 0.000 2.641 14.687
Sb 2.288 1.321 8.911
```

The calculation puts the formation energy without anion corrections at -0.019 eV/atom. The value obtained for the total energy is -0.118 Ry per atom.

---

Material: Mg2HgSb
Method: DFT, PBE
State: relaxed

Geometry as extended XYZ:
```
16
Lattice="7.259 0.000 0.000 0.000 7.259 0.000 0.000 0.000 7.259" Properties=species:S:1:pos:R:3 pbc="T T T"
Mg 1.815 1.815 1.815
Mg 1.815 1.815 5.444
Mg 1.815 5.444 1.815
Mg 1.815 5.444 5.444
Mg 5.444 1.815 1.815
Mg 5.444 1.815 5.444
Mg 5.444 5.444 1.815
Mg 5.444 5.444 5.444
Hg 0.000 0.000 0.000
Hg 0.000 3.629 3.629
Hg 3.629 0.000 3.629
Hg 3.629 3.629 0.000
Sb 0.000 0.000 3.629
Sb 0.000 3.629 0.000
Sb 3.629 0.000 0.000
Sb 3.629 3.629 3.629
```

The calculation puts the energy relative to the lowest polymorph listed for this composition at 27 meV/atom. The calculation puts the formation energy without anion corrections at -0.190 eV/atom. The value obtained for the total energy is -0.154 Ry per atom.

---

Material: MgHg2Sb
Method: DFT, PBE
State: relaxed

Geometry as extended XYZ:
```
8
Lattice="11.769 0.000 0.000 0.000 3.337 0.000 -2.815 0.000 5.032" Properties=species:S:1:pos:R:3 pbc="T T T"
Mg 0.000 0.000 0.000
Mg 5.885 1.669 0.000
Hg 2.080 1.669 1.168
Hg 0.989 0.000 3.864
Hg 7.965 0.000 1.168
Hg 6.874 1.669 3.864
Sb -1.408 1.669 2.516
Sb 4.477 0.000 2.516
```

The calculation puts the formation energy without anion corrections at -0.047 eV/atom. The value obtained for the total energy is -0.120 Ry per atom.

---

Material: Mg2HgSb
Method: DFT, PBE
State: relaxed

Geometry as extended XYZ:
```
12
Lattice="3.449 0.000 0.000 -1.724 2.987 0.000 0.000 0.000 28.646" Properties=species:S:1:pos:R:3 pbc="T T T"
Mg 0.000 0.000 0.000
Mg 0.000 0.000 7.152
Mg 0.000 1.991 19.097
Mg 0.000 1.991 26.249
Mg 1.724 0.996 9.549
Mg 1.724 0.996 16.701
Hg 0.000 0.000 21.272
Hg 0.000 1.991 11.723
Hg 1.724 0.996 2.174
Sb 0.000 0.000 14.339
Sb 0.000 1.991 4.790
Sb 1.724 0.996 23.888
```

The calculation puts the energy relative to the lowest polymorph listed for this composition at 175 meV/atom. The calculation puts the formation energy without anion corrections at -0.042 eV/atom. The value obtained for the total energy is -0.143 Ry per atom.

---

Material: MgHg2Sb
Method: DFT, PBE
State: relaxed

Geometry as extended XYZ:
```
8
Lattice="6.069 0.000 0.000 0.000 6.321 0.000 0.000 0.000 5.341" Properties=species:S:1:pos:R:3 pbc="T T T"
Mg 0.000 0.000 0.000
Mg 3.034 3.160 0.000
Hg 0.000 1.529 2.670
Hg 0.000 4.792 2.670
Hg 3.034 1.632 2.670
Hg 3.034 4.689 2.670
Sb 0.000 3.160 0.000
Sb 3.034 0.000 0.000
```

The calculation puts the formation energy without anion corrections at -0.082 eV/atom. The value obtained for the total energy is -0.122 Ry per atom.

---

Material: SmMgHgSb
Method: DFT, PBE
State: relaxed

Geometry as extended XYZ:
```
16
Lattice="7.461 0.000 0.000 0.000 7.461 0.000 0.000 0.000 7.461" Properties=species:S:1:pos:R:3 pbc="T T T"
Sm 0.000 0.000 0.000
Sm 0.000 3.731 3.731
Sm 3.731 0.000 3.731
Sm 3.731 3.731 0.000
Mg 0.000 0.000 3.731
Mg 0.000 3.731 0.000
Mg 3.731 0.000 0.000
Mg 3.731 3.731 3.731
Hg 1.865 1.865 5.596
Hg 1.865 5.596 1.865
Hg 5.596 1.865 1.865
Hg 5.596 5.596 5.596
Sb 1.865 1.865 1.865
Sb 1.865 5.596 5.596
Sb 5.596 1.865 5.596
Sb 5.596 5.596 1.865
```

The calculation puts the formation energy without anion corrections at -0.424 eV/atom. The value obtained for the total energy is -0.228 Ry per atom.